(1)
Material: K2MoC
Method: DFT, PBE
State: optimized geometry

Unit cell a=12.286 b=12.286 c=3.993 alpha=90.00 beta=90.00 gamma=90.00
Space group I-42d (No. 122)
Asymmetric unit:
K: 0.043 0.250 0.125 x8
Mo: 0.000 0.000 0.500 x4
C: 0.000 0.000 0.000 x4

The crystal system is tetragonal. The calculation puts the calculated total energy at -72.26 eV/cell. As for the formation energy: 1.046 eV/atom. The value obtained for the density of states at the Fermi level is 0.58 states/eV per atom.


(2)
Material: K6Mo6C5Se8N5
Method: DFT, PBE
State: optimized geometry

Unit cell a=11.746 b=11.746 c=9.599 alpha=90.00 beta=90.00 gamma=90.00
Space group I4 (No. 79)
Asymmetric unit:
K: 0.000 0.500 0.000 x4
K: 0.128 0.228 0.251 x8
Mo: 0.000 0.000 0.543 x2
Mo: 0.000 0.000 0.958 x2
Mo: 0.053 0.153 0.749 x8
C: 0.000 0.000 0.184 x2
C: 0.105 0.330 0.750 x8
Se: 0.096 0.802 0.556 x8
Se: 0.096 0.802 0.942 x8
N: 0.000 0.000 0.308 x2
N: 0.072 0.630 0.250 x8

The crystal system is tetragonal. The calculation puts the calculated total energy at -408.61 eV/cell. Its formation energy from raw total energies is -570 meV/atom. The value obtained for the density of states at the Fermi level is 0.17 states/eV per atom.


(3)
Material: K2NiMoC
Method: DFT, PBE
State: optimized geometry

Unit cell a=5.948 b=5.948 c=3.994 alpha=90.00 beta=90.00 gamma=90.00
Space group P4/mmm (No. 123)
Asymmetric unit:
K: 0.000 0.500 0.000 x2
Ni: 0.000 0.000 0.500 x1
Mo: 0.500 0.500 0.500 x1
C: 0.500 0.500 0.000 x1

The crystal system is tetragonal. The calculation puts the calculated total energy at -21.30 eV/cell. As for the formation energy: 1.347 eV/atom. The value obtained for the density of states at the Fermi level is 1.31 states/eV per atom.